Entry 1:
Below is a relaxed VNiRhF2 crystal, with properties calculated at the PBE+U level.

Values from the calculation:
Space-group type: P4/mmm
Uncorrected energy (eV per atom): -4.414

Lattice parameters (Å, degrees): 3.7548 3.7548 4.9771 90.00 90.00 90.00
Fractional positions:
V (0.0000, 0.0000, 0.0000)
Ni (0.5000, 0.5000, 0.5000)
Rh (0.0000, 0.0000, 0.5000)
F (0.0000, 0.5000, 0.0000)
F (0.5000, 0.0000, 0.0000)

***

Entry 2:
Below is a relaxed YNiRhF2 crystal, with properties calculated at the PBE+U level.

Values from the calculation:
Space-group type: P4/mmm
Uncorrected energy (eV per atom): -5.382

Lattice parameters (Å, degrees): 4.1931 4.1931 5.7250 90.00 90.00 90.00
Fractional positions:
Y (0.0000, 0.0000, 0.0000)
Ni (0.5000, 0.5000, 0.5000)
Rh (0.0000, 0.0000, 0.5000)
F (0.0000, 0.5000, 0.0000)
F (0.5000, 0.0000, 0.0000)

***

Entry 3:
Below is a relaxed Zn2NiRhF crystal, with properties calculated at the PBE+U level.

Values from the calculation:
Space-group type: P4/mmm
Uncorrected energy (eV per atom): -3.031

Lattice parameters (Å, degrees): 4.2937 4.2937 3.7826 90.00 90.00 90.00
Fractional positions:
Zn (0.0000, 0.5000, 0.0000)
Zn (0.5000, 0.0000, 0.0000)
Ni (0.0000, 0.0000, 0.5000)
Rh (0.5000, 0.5000, 0.5000)
F (0.0000, 0.0000, 0.0000)

***

Entry 4:
Below is a relaxed NiRu2F crystal, with properties calculated at the PBE+U level.

Values from the calculation:
Space-group type: I-42d
Uncorrected energy (eV per atom): -4.854

Lattice parameters (Å, degrees): 6.5260 6.5260 4.8390 90.00 90.00 90.00
Fractional positions:
Ni (0.0000, 0.0000, 0.0000)
Ni (0.0000, 0.5000, 0.2500)
Ni (0.5000, 0.0000, 0.7500)
Ni (0.5000, 0.5000, 0.5000)
Ru (0.2030, 0.7500, 0.6250)
Ru (0.2500, 0.2030, 0.3750)
Ru (0.2500, 0.2970, 0.8750)
Ru (0.2970, 0.7500, 0.1250)
Ru (0.7030, 0.2500, 0.1250)
Ru (0.7500, 0.7030, 0.8750)
Ru (0.7500, 0.7970, 0.3750)
Ru (0.7970, 0.2500, 0.6250)
F (0.0000, 0.0000, 0.5000)
F (0.0000, 0.5000, 0.7500)
F (0.5000, 0.0000, 0.2500)
F (0.5000, 0.5000, 0.0000)

***

Entry 5:
Below is a relaxed NiRu2F crystal, with properties calculated at the PBE+U level.

Values from the calculation:
Space-group type: Fm-3m
Uncorrected energy (eV per atom): -4.986

Lattice parameters (Å, degrees): 5.8041 5.8041 5.8041 90.00 90.00 90.00
Fractional positions:
Ni (0.0000, 0.0000, 0.0000)
Ni (0.0000, 0.5000, 0.5000)
Ni (0.5000, 0.0000, 0.5000)
Ni (0.5000, 0.5000, 0.0000)
Ru (0.2500, 0.2500, 0.2500)
Ru (0.2500, 0.2500, 0.7500)
Ru (0.2500, 0.7500, 0.2500)
Ru (0.2500, 0.7500, 0.7500)
Ru (0.7500, 0.2500, 0.2500)
Ru (0.7500, 0.2500, 0.7500)
Ru (0.7500, 0.7500, 0.2500)
Ru (0.7500, 0.7500, 0.7500)
F (0.0000, 0.0000, 0.5000)
F (0.0000, 0.5000, 0.0000)
F (0.5000, 0.0000, 0.0000)
F (0.5000, 0.5000, 0.5000)

***

Entry 6:
Below is a relaxed NiRuF3 crystal, with properties calculated at the PBE+U level.

Values from the calculation:
Space-group type: Pm-3m
Uncorrected energy (eV per atom): -4.380

Lattice parameters (Å, degrees): 4.0250 4.0250 4.0250 90.00 90.00 90.00
Fractional positions:
Ni (0.0000, 0.0000, 0.0000)
Ru (0.5000, 0.5000, 0.5000)
F (0.0000, 0.0000, 0.5000)
F (0.0000, 0.5000, 0.0000)
F (0.5000, 0.0000, 0.0000)

***

Entry 7:
Below is a relaxed NiRuF5 crystal, with properties calculated at the PBE+U level.

Values from the calculation:
Space-group type: C2/c
Uncorrected energy (eV per atom): -4.698

Lattice parameters (Å, degrees): 5.3843 5.3843 8.0486 110.92 110.92 84.25
Fractional positions:
Ni (0.0961, 0.9039, 0.7500)
Ni (0.9039, 0.0961, 0.2500)
Ru (0.0000, 0.5000, 0.0000)
Ru (0.5000, 0.0000, 0.5000)
F (0.1624, 0.6146, 0.8515)
F (0.1919, 0.2471, 0.4975)
F (0.2045, 0.7955, 0.2500)
F (0.2471, 0.1919, 0.9975)
F (0.3854, 0.8376, 0.6485)
F (0.6146, 0.1624, 0.3515)
F (0.7529, 0.8081, 0.0025)
F (0.7955, 0.2045, 0.7500)
F (0.8081, 0.7529, 0.5025)
F (0.8376, 0.3854, 0.1485)

***

Entry 8:
Below is a relaxed NiRu3F crystal, with properties calculated at the PBE+U level.

Values from the calculation:
Space-group type: Pm-3m
Uncorrected energy (eV per atom): -5.049

Lattice parameters (Å, degrees): 4.1171 4.1171 4.1171 90.00 90.00 90.00
Fractional positions:
Ni (0.0000, 0.0000, 0.0000)
Ru (0.0000, 0.5000, 0.5000)
Ru (0.5000, 0.0000, 0.5000)
Ru (0.5000, 0.5000, 0.0000)
F (0.5000, 0.5000, 0.5000)

***

- Which of these has the highest uncorrected energy?
  Zn2NiRhF